GdEr2Se3 after structural relaxation, computed with GGA-PBE.

Geometry as POSCAR:
```
GdEr2Se3
1.0
4.0427 0.0000 0.0000
-2.0213 3.5010 0.0000
0.0000 0.0000 9.9790
Gd Er Se
1 2 3
direct
0.0000 0.0000 0.0000 Gd
0.3333 0.6667 0.6660 Er
0.6667 0.3333 0.3340 Er
0.0000 0.0000 0.5000 Se
0.3333 0.6667 0.1726 Se
0.6667 0.3333 0.8274 Se
```

Summary:
- V (Å³ per cell) = 141.2
- mass density (g cm⁻³) = 8.57
- total magnetization (Bohr magnetons per cell) = 0.00
- total energy (Ha/atom) = -0.212